Entry 1:
Here is a relaxed AgOs2WF crystal from the Alexandria database. Energies are from GGA+U.

Properties
DOS at the Fermi energy   5.11 states/eV per cell
ρ   9.33 g/cm3
Size of the total moment   1.7 μB/cell
DFT total energy   -4.74 eV per atom

a b c (Å): 4.7928 4.7928 5.3544
angles (deg): 90.00 90.00 90.00
Closest atoms and distances in Å follow each position.
Atoms (fractional coordinates):
Ag: 0.0000 0.0000 0.0000  2 W 2.68
Os: 0.0000 0.5000 0.5000  2 W 2.40
Os: 0.5000 0.0000 0.5000  2 W 2.40
W: 0.0000 0.0000 0.5000  4 Os 2.40, 2 Ag 2.68
F: 0.5000 0.5000 0.0000  4 Ag 3.39, 8 Os 3.59

Entry 2:
Here is a relaxed AgOsW2F crystal from the Alexandria database. Energies are from GGA+U.

Properties
DOS at the Fermi energy   3.18 states/eV per cell
ρ   10.56 g/cm3
Size of the total moment   5.3 μB/cell
DFT total energy   -4.19 eV per atom

a b c (Å): 5.2290 5.2290 3.9384
angles (deg): 90.00 90.00 90.00
Closest atoms and distances in Å follow each position.
Atoms (fractional coordinates):
Ag: 0.0000 0.0000 0.0000  2 F 1.97
Os: 0.5000 0.5000 0.5000  8 W 3.27
W: 0.0000 0.5000 0.0000  2 Ag 2.61
W: 0.5000 0.0000 0.0000  2 Ag 2.61
F: 0.0000 0.0000 0.5000  2 Ag 1.97